# Rb2LiAgF6, relaxed, DFT PBE
data_Rb2LiAgF6
_cell_length_a 5.894
_cell_length_b 5.894
_cell_length_c 5.894
_cell_angle_alpha 121.91
_cell_angle_beta 121.91
_cell_angle_gamma 86.72
_space_group_name_H-M_alt 'P 1'
_space_group_IT_number 1
loop_
_space_group_symop_operation_xyz
'x,y,z'
loop_
_atom_site_label
_atom_site_fract_x
_atom_site_fract_y
_atom_site_fract_z
Rb1 0.250 0.750 0.500
Rb2 0.750 0.250 0.500
Li1 0.000 0.000 0.000
Ag1 0.500 0.500 0.000
F1 0.221 0.221 0.000
F2 0.250 0.742 0.992
F3 0.258 0.250 0.508
F4 0.742 0.750 0.492
F5 0.750 0.258 0.008
F6 0.779 0.779 0.000
# - E (eV per atom) = -3.90
# - space-group type = No. 87